Here is a geometry-optimized SnBi2I8 structure from the Alexandria database. Energies are from PBE.

The structure belongs to space group C2/m (No. 12); the cell edges are 21.873, 4.220 and 11.249 Å and the angles 90.00°, 90.71° and 90.00°. The inequivalent atoms are Sn at (0.000, 0.000, 0.000), Bi at (0.154, 0.500, 0.734), I at (0.000, 0.500, 0.211), I at (0.101, 0.000, 0.555), I at (0.145, 0.000, 0.955) and I at (0.238, 0.500, 0.297).

The raw formation energy comes out at -0.395 eV per atom. Its energy above the most stable polymorph in this dataset is 0.00 kJ/mol of atoms.

***

Here is a geometry-optimized SnBRuRh structure from the Alexandria database. Energies are from PBE.

The structure belongs to space group P3m1 (No. 156); the cell edges are 3.2338, 3.2338 and 6.3409 Å and the angles 90.00°, 90.00° and 120.00°. The inequivalent atoms are Sn at (0.0000, 0.0000, 0.0000), B at (0.0000, 0.0000, 0.5050), Ru at (0.6667, 0.3333, 0.6755) and Rh at (0.3333, 0.6667, 0.3301).

As for the density of states at the Fermi level: 0.73 states/eV/atom. The formation energy comes out at -0.19 eV per atom. Its energy above the most stable polymorph in this dataset is 2.18 kJ/mol of atoms.

***

Here is a geometry-optimized Ho4Th3 structure from the Alexandria database. Energies are from PBE.

The structure belongs to space group C2/m (No. 12); the cell edges are 11.290, 5.027 and 7.904 Å and the angles 90.00°, 98.25° and 90.00°. The inequivalent atoms are Ho at (0.073, 0.000, 0.219), Ho at (0.144, 0.500, 0.925), Th at (0.000, 0.500, 0.500) and Th at (0.213, 0.000, 0.638).

As for the density of states at the Fermi level: 1.45 states/eV/atom. The formation energy comes out at 0.03 eV per atom. Its energy above the most stable polymorph in this dataset is 0.00 kJ/mol of atoms.

***

Here is a geometry-optimized LaEr2Zn2Ge2 structure from the Alexandria database. Energies are from PBE.

The structure belongs to space group R-3m (No. 166, hexagonal axes); the cell edges are 4.1666, 4.1666 and 33.8390 Å and the angles 90.00°, 90.00° and 120.00°. The inequivalent atoms are La at (0.0000, 0.0000, 0.0000), Er at (0.0000, 0.0000, 0.1253), Zn at (0.0000, 0.0000, 0.3956) and Ge at (0.0000, 0.0000, 0.2622).

As for the density of states at the Fermi level: 0.91 states/eV/atom. The formation energy comes out at -0.45 eV per atom.